(one)
An optimized crystal structure of Cr2Hg2Rh. Source: Alexandria, functional GGA-PBE.

Total magnetic moment in Bohr magnetons per cell: 0.00

Cell and atoms, written as CIF:
```
data_Cr2Hg2Rh
_chemical_formula_sum 'Cr4 Hg4 Rh2'
_cell_length_a 3.181
_cell_length_b 3.181
_cell_length_c 16.584
_cell_angle_alpha 90.00
_cell_angle_beta 90.00
_cell_angle_gamma 90.00
_symmetry_space_group_name_H-M 'I 4/m m m'
_symmetry_Int_Tables_number 139
_symmetry_space_group_name_Hall '-I 4 2'
loop_
_atom_site_label
_atom_site_type_symbol
_atom_site_fract_x
_atom_site_fract_y
_atom_site_fract_z
Cr1 Cr 0.000 0.500 0.250
Hg1 Hg 0.000 0.000 0.106
Rh1 Rh 0.000 0.000 0.500
```



(two)
An optimized crystal structure of Cr2Hg2Rh. Source: Alexandria, functional GGA-PBE.

Total magnetic moment in Bohr magnetons per cell: 1.62

Cell and atoms, written as CIF:
```
data_Cr2Hg2Rh
_chemical_formula_sum 'Cr4 Hg4 Rh2'
_cell_length_a 7.672
_cell_length_b 7.672
_cell_length_c 2.964
_cell_angle_alpha 90.00
_cell_angle_beta 90.00
_cell_angle_gamma 90.00
_symmetry_space_group_name_H-M 'P 4/m b m'
_symmetry_Int_Tables_number 127
_symmetry_space_group_name_Hall '-P 4 2ab'
loop_
_atom_site_label
_atom_site_type_symbol
_atom_site_fract_x
_atom_site_fract_y
_atom_site_fract_z
Cr1 Cr 0.087 0.413 0.000
Hg1 Hg 0.202 0.702 0.500
Rh1 Rh 0.000 0.000 0.500
```



Which structure is the most stable? The one labeled (one).



(one)
An optimized crystal structure of CrHg2Rh. Source: Alexandria, functional GGA-PBE.

Total magnetic moment in Bohr magnetons per cell: 4.13

Cell and atoms, written as CIF:
```
data_CrHg2Rh
_chemical_formula_sum 'Cr1 Hg2 Rh1'
_cell_length_a 3.157
_cell_length_b 3.771
_cell_length_c 6.007
_cell_angle_alpha 90.00
_cell_angle_beta 90.20
_cell_angle_gamma 90.00
_symmetry_space_group_name_H-M 'P 1 2/m 1'
_symmetry_Int_Tables_number 10
loop_
_symmetry_equiv_pos_as_xyz
'x,y,z'
'-x,-y,-z'
'-x,y,-z'
'x,-y,z'
loop_
_atom_site_label
_atom_site_type_symbol
_atom_site_fract_x
_atom_site_fract_y
_atom_site_fract_z
Cr1 Cr 0.000 0.000 0.000
Hg1 Hg 0.500 0.500 0.253
Rh1 Rh 0.000 0.000 0.500
```



(two)
An optimized crystal structure of CrHg2Rh. Source: Alexandria, functional GGA-PBE.

Total magnetic moment in Bohr magnetons per cell: 4.16

Cell and atoms, written as CIF:
```
data_CrHg2Rh
_chemical_formula_sum 'Cr1 Hg2 Rh1'
_cell_length_a 4.739
_cell_length_b 3.237
_cell_length_c 5.009
_cell_angle_alpha 90.00
_cell_angle_beta 107.80
_cell_angle_gamma 90.00
_symmetry_space_group_name_H-M 'P 1 2/m 1'
_symmetry_Int_Tables_number 10
loop_
_symmetry_equiv_pos_as_xyz
'x,y,z'
'-x,-y,-z'
'-x,y,-z'
'x,-y,z'
loop_
_atom_site_label
_atom_site_type_symbol
_atom_site_fract_x
_atom_site_fract_y
_atom_site_fract_z
Cr1 Cr 0.000 0.000 0.000
Hg1 Hg 0.500 0.000 0.500
Hg2 Hg 0.500 0.500 0.000
Rh1 Rh 0.000 0.500 0.500
```



Which structure is the most stable? The one labeled (one).



(one)
An optimized crystal structure of CrHg2Rh. Source: Alexandria, functional GGA-PBE.

Total magnetic moment in Bohr magnetons per cell: 8.07

Cell and atoms, written as CIF:
```
data_CrHg2Rh
_chemical_formula_sum 'Cr2 Hg4 Rh2'
_cell_length_a 4.240
_cell_length_b 4.240
_cell_length_c 7.912
_cell_angle_alpha 90.00
_cell_angle_beta 90.00
_cell_angle_gamma 90.00
_symmetry_space_group_name_H-M 'I 4/m m m'
_symmetry_Int_Tables_number 139
_symmetry_space_group_name_Hall '-I 4 2'
loop_
_atom_site_label
_atom_site_type_symbol
_atom_site_fract_x
_atom_site_fract_y
_atom_site_fract_z
Cr1 Cr 0.000 0.000 0.000
Hg1 Hg 0.000 0.500 0.250
Rh1 Rh 0.000 0.000 0.500
```



(two)
An optimized crystal structure of CrHg2Rh. Source: Alexandria, functional GGA-PBE.

Total magnetic moment in Bohr magnetons per cell: 16.14

Cell and atoms, written as CIF:
```
data_CrHg2Rh
_chemical_formula_sum 'Cr4 Hg8 Rh4'
_cell_length_a 6.588
_cell_length_b 6.588
_cell_length_c 6.588
_cell_angle_alpha 90.00
_cell_angle_beta 90.00
_cell_angle_gamma 90.00
_symmetry_space_group_name_H-M 'F m -3 m'
_symmetry_Int_Tables_number 225
_symmetry_space_group_name_Hall '-F 4 2 3'
loop_
_atom_site_label
_atom_site_type_symbol
_atom_site_fract_x
_atom_site_fract_y
_atom_site_fract_z
Cr1 Cr 0.000 0.000 0.000
Hg1 Hg 0.250 0.250 0.250
Rh1 Rh 0.000 0.000 0.500
```



(three)
An optimized crystal structure of CrHg2Rh. Source: Alexandria, functional GGA-PBE.

Total magnetic moment in Bohr magnetons per cell: 18.87

Cell and atoms, written as CIF:
```
data_CrHg2Rh
_chemical_formula_sum 'Cr4 Hg8 Rh4'
_cell_length_a 7.499
_cell_length_b 7.499
_cell_length_c 5.713
_cell_angle_alpha 90.00
_cell_angle_beta 90.00
_cell_angle_gamma 90.00
_symmetry_space_group_name_H-M 'I -4 2 d'
_symmetry_Int_Tables_number 122
_symmetry_space_group_name_Hall 'I -4 2bw'
loop_
_atom_site_label
_atom_site_type_symbol
_atom_site_fract_x
_atom_site_fract_y
_atom_site_fract_z
Cr1 Cr 0.000 0.000 0.000
Hg1 Hg 0.243 0.250 0.625
Rh1 Rh 0.000 0.000 0.500
```



Which structure is the most stable? The one labeled (one).



(one)
An optimized crystal structure of CrHgRh. Source: Alexandria, functional GGA-PBE.

Total magnetic moment in Bohr magnetons per cell: 5.62

Cell and atoms, written as CIF:
```
data_CrHgRh
_chemical_formula_sum 'Cr2 Hg2 Rh2'
_cell_length_a 3.026
_cell_length_b 3.393
_cell_length_c 9.603
_cell_angle_alpha 90.00
_cell_angle_beta 90.00
_cell_angle_gamma 90.00
_symmetry_space_group_name_H-M 'I m m 2'
_symmetry_Int_Tables_number 44
loop_
_symmetry_equiv_pos_as_xyz
'x,y,z'
'-x,-y,z'
'-x,y,z'
'x,-y,z'
'x+1/2,y+1/2,z+1/2'
'-x+1/2,-y+1/2,z+1/2'
'-x+1/2,y+1/2,z+1/2'
'x+1/2,-y+1/2,z+1/2'
loop_
_atom_site_label
_atom_site_type_symbol
_atom_site_fract_x
_atom_site_fract_y
_atom_site_fract_z
Cr1 Cr 0.000 0.000 0.000
Hg1 Hg 0.000 0.000 0.313
Rh1 Rh 0.000 0.000 0.621
```



(two)
An optimized crystal structure of CrHgRh. Source: Alexandria, functional GGA-PBE.

Total magnetic moment in Bohr magnetons per cell: 0.23

Cell and atoms, written as CIF:
```
data_CrHgRh
_chemical_formula_sum 'Cr1 Hg1 Rh1'
_cell_length_a 2.8294
_cell_length_b 2.8294
_cell_length_c 6.8196
_cell_angle_alpha 90.00
_cell_angle_beta 90.00
_cell_angle_gamma 120.00
_symmetry_space_group_name_H-M 'P 3 m 1'
_symmetry_Int_Tables_number 156
loop_
_symmetry_equiv_pos_as_xyz
'x,y,z'
'-y,x-y,z'
'-x+y,-x,z'
'-y,-x,z'
'-x+y,y,z'
'x,x-y,z'
loop_
_atom_site_label
_atom_site_type_symbol
_atom_site_fract_x
_atom_site_fract_y
_atom_site_fract_z
Cr1 Cr 0.0000 0.0000 0.0000
Hg1 Hg 0.6667 0.3333 0.3521
Rh1 Rh 0.3333 0.6667 0.7229
```



Which structure is the most stable? The one labeled (one).



(one)
An optimized crystal structure of CrHgRh. Source: Alexandria, functional GGA-PBE.

Total magnetic moment in Bohr magnetons per cell: 3.24

Cell and atoms, written as CIF:
```
data_CrHgRh
_chemical_formula_sum 'Cr1 Hg1 Rh1'
_cell_length_a 4.3991
_cell_length_b 4.3991
_cell_length_c 2.9922
_cell_angle_alpha 90.00
_cell_angle_beta 90.00
_cell_angle_gamma 120.00
_symmetry_space_group_name_H-M 'P -6 m 2'
_symmetry_Int_Tables_number 187
_symmetry_space_group_name_Hall 'P -6 2'
loop_
_atom_site_label
_atom_site_type_symbol
_atom_site_fract_x
_atom_site_fract_y
_atom_site_fract_z
Cr1 Cr 0.0000 0.0000 0.0000
Hg1 Hg 0.6667 0.3333 0.5000
Rh1 Rh 0.3333 0.6667 0.0000
```



(two)
An optimized crystal structure of CrHgRh. Source: Alexandria, functional GGA-PBE.

Total magnetic moment in Bohr magnetons per cell: 13.90

Cell and atoms, written as CIF:
```
data_CrHgRh
_chemical_formula_sum 'Cr4 Hg4 Rh4'
_cell_length_a 6.201
_cell_length_b 6.201
_cell_length_c 6.201
_cell_angle_alpha 90.00
_cell_angle_beta 90.00
_cell_angle_gamma 90.00
_symmetry_space_group_name_H-M 'F -4 3 m'
_symmetry_Int_Tables_number 216
_symmetry_space_group_name_Hall 'F -4 2 3'
loop_
_atom_site_label
_atom_site_type_symbol
_atom_site_fract_x
_atom_site_fract_y
_atom_site_fract_z
Cr1 Cr 0.000 0.000 0.000
Hg1 Hg 0.000 0.000 0.500
Rh1 Rh 0.250 0.250 0.250
```



Which structure is the most stable? The one labeled (one).



(one)
An optimized crystal structure of Cr2HgRu2. Source: Alexandria, functional GGA-PBE.

Total magnetic moment in Bohr magnetons per cell: 0.00

Cell and atoms, written as CIF:
```
data_Cr2HgRu2
_chemical_formula_sum 'Cr4 Hg2 Ru4'
_cell_length_a 7.300
_cell_length_b 7.300
_cell_length_c 2.759
_cell_angle_alpha 90.00
_cell_angle_beta 90.00
_cell_angle_gamma 90.00
_symmetry_space_group_name_H-M 'P 4/m b m'
_symmetry_Int_Tables_number 127
_symmetry_space_group_name_Hall '-P 4 2ab'
loop_
_atom_site_label
_atom_site_type_symbol
_atom_site_fract_x
_atom_site_fract_y
_atom_site_fract_z
Cr1 Cr 0.115 0.385 0.000
Hg1 Hg 0.000 0.000 0.000
Ru1 Ru 0.167 0.667 0.500
```



(two)
An optimized crystal structure of Cr2HgRu2. Source: Alexandria, functional GGA-PBE.

Total magnetic moment in Bohr magnetons per cell: 0.00

Cell and atoms, written as CIF:
```
data_Cr2HgRu2
_chemical_formula_sum 'Cr4 Hg2 Ru4'
_cell_length_a 7.344
_cell_length_b 7.344
_cell_length_c 2.736
_cell_angle_alpha 90.00
_cell_angle_beta 90.00
_cell_angle_gamma 90.00
_symmetry_space_group_name_H-M 'P 4/m b m'
_symmetry_Int_Tables_number 127
_symmetry_space_group_name_Hall '-P 4 2ab'
loop_
_atom_site_label
_atom_site_type_symbol
_atom_site_fract_x
_atom_site_fract_y
_atom_site_fract_z
Cr1 Cr 0.159 0.341 0.000
Hg1 Hg 0.000 0.000 0.500
Ru1 Ru 0.131 0.631 0.500
```



Which structure is the most stable? The one labeled (two).